A geometry-optimized SmPuBiTe structure, computed with PBE.

The structure belongs to space group R3m (No. 160, hexagonal axes); the cell edges are 4.5078, 4.5078 and 21.9888 Å and the angles 90.00°, 90.00° and 120.00°. The inequivalent atoms are Sm at (0.0000, 0.0000, 0.0000), Pu at (0.0000, 0.0000, 0.4988), Bi at (0.0000, 0.0000, 0.2495) and Te at (0.0000, 0.0000, 0.7505).

Its density is 9.41 g/cm3. Its total magnetization is 5.72 μB/f.u. The calculation puts the energy relative to the elements, uncorrected at -0.966 eV per atom.

---

A geometry-optimized SmPuBiTe structure, computed with PBE.

The structure belongs to space group F-43m (No. 216); the cell edges are 7.7552, 7.7552 and 7.7552 Å and the angles 90.00°, 90.00° and 90.00°. The inequivalent atoms are Sm at (0.0000, 0.0000, 0.0000), Pu at (0.0000, 0.0000, 0.5000), Bi at (0.2500, 0.2500, 0.2500) and Te at (0.2500, 0.2500, 0.7500).

Its density is 10.41 g/cm3. Its total magnetization is 5.96 μB/f.u. The calculation puts the energy relative to the elements, uncorrected at -0.787 eV per atom.

---

A geometry-optimized Sm2PuThBi4 structure, computed with PBE.

The structure belongs to space group P2/m (No. 10); the cell edges are 7.9107, 4.5723 and 7.9110 Å and the angles 90.00°, 109.46° and 90.00°. The inequivalent atoms are Sm at (0.0000, 0.0000, 0.0000), Sm at (0.5000, 0.5000, 0.0000), Pu at (0.0000, 0.5000, 0.5000), Th at (0.5000, 0.0000, 0.5000), Bi at (0.2483, 0.5000, 0.2484) and Bi at (0.2485, 0.0000, 0.7497).

Its density is 9.93 g/cm3. Its total magnetization is 5.53 μB/f.u. Its calculated formation energy is -712 meV per atom.

---

A geometry-optimized SmPu2ThBi4 structure, computed with PBE.

The structure belongs to space group P2/m (No. 10); the cell edges are 7.8917, 4.5706 and 7.9276 Å and the angles 90.00°, 109.49° and 90.00°. The inequivalent atoms are Sm at (0.0000, 0.0000, 0.0000), Pu at (0.5000, 0.0000, 0.5000), Pu at (0.5000, 0.5000, 0.0000), Th at (0.0000, 0.5000, 0.5000), Bi at (0.2523, 0.5000, 0.2500) and Bi at (0.2528, 0.0000, 0.7528).

Its density is 10.51 g/cm3. Its total magnetization is 0.06 μB/f.u. Its calculated formation energy is -560 meV per atom.

---

A geometry-optimized SmPuTh2Bi4 structure, computed with PBE.

The structure belongs to space group P2/m (No. 10); the cell edges are 7.9095, 4.5892 and 7.9390 Å and the angles 90.00°, 109.58° and 90.00°. The inequivalent atoms are Sm at (0.0000, 0.0000, 0.0000), Pu at (0.0000, 0.5000, 0.5000), Th at (0.5000, 0.0000, 0.5000), Th at (0.5000, 0.5000, 0.0000), Bi at (0.2465, 0.0000, 0.7486) and Bi at (0.2469, 0.5000, 0.2491).

Its density is 10.36 g/cm3. Its total magnetization is 5.84 μB/f.u. Its calculated formation energy is -633 meV per atom.

---

A geometry-optimized SmPuTh2Bi5 structure, computed with PBE.

The structure belongs to space group P4/mmm (No. 123); the cell edges are 5.5157, 5.5157 and 11.8210 Å and the angles 90.00°, 90.00° and 90.00°. The inequivalent atoms are Sm at (0.0000, 0.0000, 0.0000), Pu at (0.0000, 0.0000, 0.5000), Th at (0.5000, 0.5000, 0.1944), Bi at (0.0000, 0.0000, 0.2516), Bi at (0.0000, 0.5000, 0.0000) and Bi at (0.5000, 0.5000, 0.5000).

Its density is 8.79 g/cm3. Its total magnetization is 5.14 μB/f.u. Its calculated formation energy is 215 meV per atom.

---

A geometry-optimized SmPuTlBi structure, computed with PBE.

The structure belongs to space group F-43m (No. 216); the cell edges are 7.7669, 7.7669 and 7.7669 Å and the angles 90.00°, 90.00° and 90.00°. The inequivalent atoms are Sm at (0.0000, 0.0000, 0.0000), Pu at (0.0000, 0.0000, 0.5000), Tl at (0.2500, 0.2500, 0.2500) and Bi at (0.2500, 0.2500, 0.7500).

Its density is 11.45 g/cm3. Its total magnetization is 6.47 μB/f.u. Its calculated formation energy is -289 meV per atom.

---

A geometry-optimized Sm2TmPuBi4 structure, computed with PBE.

The structure belongs to space group P2/m (No. 10); the cell edges are 7.8307, 4.5272 and 7.8329 Å and the angles 90.00°, 109.41° and 90.00°. The inequivalent atoms are Sm at (0.0000, 0.0000, 0.0000), Sm at (0.5000, 0.5000, 0.0000), Tm at (0.0000, 0.5000, 0.5000), Pu at (0.5000, 0.0000, 0.5000), Bi at (0.2450, 0.0000, 0.7432) and Bi at (0.2489, 0.5000, 0.2547).

Its density is 9.82 g/cm3. Its total magnetization is 5.14 μB/f.u. Its calculated formation energy is -731 meV per atom.